1.
## Ba6Na3PdAu2 (PBE-GGA)

Data for a geometry-optimized Ba6Na3PdAu2 structure.

abc: 8.130 8.130 10.336
angles: 97.26 97.26 119.46
Fractional positions:
Ba (0.381, 0.057, 0.177)
Au (0.335, 0.665, 0.000)
Au (0.665, 0.335, 0.000)
Ba (0.943, 0.619, 0.823)
Ba (0.265, 0.265, 0.818)
Ba (0.057, 0.381, 0.177)
Pd (0.000, 0.000, 0.000)
Na (0.500, 0.500, 0.500)
Na (0.821, 0.179, 0.500)
Ba (0.619, 0.943, 0.823)
Ba (0.735, 0.735, 0.182)
Na (0.179, 0.821, 0.500)

## Properties
- calculated total energy (eV/atom) = -2.60

2.
## TbNd5Zn6 (PBE-GGA)

Data for a geometry-optimized TbNd5Zn6 structure.

abc: 5.174 7.344 8.220
angles: 90.00 71.45 89.99
Fractional positions:
Nd (0.332, 0.500, 0.336)
Zn (0.164, 0.246, 0.673)
Zn (0.164, 0.754, 0.673)
Zn (0.500, 0.757, 0.000)
Nd (0.000, 0.500, 0.000)
Zn (0.836, 0.754, 0.327)
Nd (0.668, 0.500, 0.664)
Zn (0.836, 0.246, 0.327)
Nd (0.666, 0.000, 0.668)
Tb (0.000, 0.000, 0.000)
Zn (0.500, 0.243, 0.000)
Nd (0.334, 0.000, 0.332)

## Properties
- calculated total energy (eV/atom) = -3.32

3.
## CeBiH6Rh2 (PBE-GGA)

Data for a geometry-optimized CeBiH6Rh2 structure.

abc: 7.223 7.223 4.603
angles: 86.10 86.10 111.43
Fractional positions:
Bi (0.391, 0.609, 0.750)
H (0.490, 0.129, 0.946)
H (0.139, 0.141, 0.507)
H (0.129, 0.490, 0.446)
H (0.307, 0.948, 0.694)
H (0.861, 0.859, 0.493)
H (0.510, 0.871, 0.054)
Rh (0.663, 0.819, 0.265)
H (0.859, 0.861, 0.993)
Rh (0.181, 0.337, 0.235)
Rh (0.337, 0.181, 0.735)
H (0.871, 0.510, 0.554)
Ce (0.163, 0.837, 0.250)
Bi (0.609, 0.391, 0.250)
H (0.052, 0.693, 0.806)
H (0.693, 0.052, 0.306)
Rh (0.819, 0.663, 0.765)
H (0.948, 0.307, 0.194)
Ce (0.837, 0.163, 0.750)
H (0.141, 0.139, 0.007)

## Properties
- calculated total energy (eV/atom) = -4.73

4.
## Ba3Hf2UO9 (PBE-GGA)

Data for a geometry-optimized Ba3Hf2UO9 structure.

abc: 6.056 6.056 7.444
angles: 90.00 90.00 120.00
Fractional positions:
O (0.500, 0.500, 0.000)
O (0.657, 0.828, 0.325)
O (0.172, 0.343, 0.325)
U (0.000, 0.000, 0.500)
O (0.000, 0.500, 0.000)
Hf (0.667, 0.333, 0.841)
O (0.172, 0.828, 0.325)
O (0.343, 0.172, 0.675)
Ba (0.000, 0.000, 0.000)
O (0.828, 0.172, 0.675)
Hf (0.333, 0.667, 0.159)
O (0.828, 0.657, 0.675)
O (0.500, 0.000, 0.000)
Ba (0.667, 0.333, 0.328)
Ba (0.333, 0.667, 0.672)

## Properties
- formation energy from raw total energies (eV/atom) = -3.24
- calculated total energy (eV/atom) = -8.68

5.
## AlPIr2 (PBE-GGA)

Data for a geometry-optimized AlPIr2 structure.

abc: 4.368 4.368 4.368
angles: 60.00 60.00 60.00
Fractional positions:
Ir (0.250, 0.250, 0.250)
Al (0.500, 0.500, 0.500)
Ir (0.000, 0.000, 0.000)
P (0.750, 0.750, 0.750)

## Properties
- calculated total energy (eV/atom) = -6.54

6.
## NdTl2Si2Au7 (PBE-GGA)

Data for a geometry-optimized NdTl2Si2Au7 structure.

abc: 4.844 4.844 11.934
angles: 83.28 83.28 89.84
Fractional positions:
Si (0.676, 0.676, 0.785)
Au (0.444, 0.864, 0.174)
Nd (0.000, 0.000, 0.000)
Au (0.136, 0.556, 0.826)
Au (0.440, 0.440, 0.398)
Tl (0.884, 0.884, 0.389)
Au (0.560, 0.560, 0.602)
Si (0.324, 0.324, 0.215)
Au (0.500, 0.500, 0.000)
Au (0.556, 0.136, 0.826)
Au (0.864, 0.444, 0.174)
Tl (0.116, 0.116, 0.611)

## Properties
- formation energy from raw total energies (eV/atom) = -0.23
- calculated total energy (eV/atom) = -3.84

7.
## Th2Zn5Ni3 (PBE-GGA)

Data for a geometry-optimized Th2Zn5Ni3 structure.

abc: 3.938 3.938 11.290
angles: 90.00 90.00 90.00
Fractional positions:
Zn (0.000, 0.500, 0.145)
Th (0.500, 0.000, 0.280)
Zn (0.500, 0.500, 0.000)
Zn (0.000, 0.000, 0.000)
Zn (0.500, 0.500, 0.500)
Ni (0.000, 0.000, 0.500)
Th (0.000, 0.500, 0.720)
Zn (0.500, 0.000, 0.855)
Ni (0.500, 0.000, 0.639)
Ni (0.000, 0.500, 0.361)

## Properties
- calculated total energy (eV/atom) = -4.17

8.
## Dy3InAg2 (PBE-GGA)

Data for a geometry-optimized Dy3InAg2 structure.

abc: 3.612 3.612 11.443
angles: 90.00 90.00 90.00
Fractional positions:
Dy (0.000, 0.000, 0.000)
Ag (0.500, 0.500, 0.162)
Dy (0.000, 0.000, 0.678)
Dy (0.000, 0.000, 0.322)
Ag (0.500, 0.500, 0.838)
In (0.500, 0.500, 0.500)

## Properties
- calculated total energy (eV/atom) = -4.08

9.
## Li2MgAgN (PBE-GGA)

Data for a geometry-optimized Li2MgAgN structure.

abc: 4.166 4.166 4.127
angles: 90.00 90.00 90.00
Fractional positions:
Li (0.000, 0.500, 0.000)
Mg (0.000, 0.000, 0.500)
Li (0.500, 0.000, 0.000)
N (0.000, 0.000, 0.000)
Ag (0.500, 0.500, 0.500)

## Properties
- formation energy from raw total energies (eV/atom) = -0.29
- calculated total energy (eV/atom) = -3.61

10.
## Ca2Co2Ge (PBE-GGA)

Data for a geometry-optimized Ca2Co2Ge structure.

abc: 8.055 8.055 3.111
angles: 90.00 90.00 90.00
Fractional positions:
Ca (0.642, 0.142, 0.000)
Ca (0.358, 0.858, 0.000)
Ca (0.858, 0.642, 0.000)
Co (0.162, 0.662, 0.500)
Co (0.838, 0.338, 0.500)
Co (0.662, 0.838, 0.500)
Co (0.338, 0.162, 0.500)
Ge (0.000, 0.000, 0.000)
Ca (0.142, 0.358, 0.000)
Ge (0.500, 0.500, 0.000)

## Properties
- calculated total energy (eV/atom) = -3.94

11.
## K2Mn2Cl7 (PBE-GGA)

Data for a geometry-optimized K2Mn2Cl7 structure.

abc: 5.874 8.242 8.242
angles: 105.38 95.20 95.20
Fractional positions:
Mn (0.916, 0.224, 0.224)
Cl (0.251, 0.921, 0.611)
Cl (0.775, 0.611, 0.611)
Mn (0.084, 0.776, 0.776)
Cl (0.749, 0.079, 0.389)
K (0.500, 0.700, 0.300)
Cl (0.225, 0.389, 0.389)
Cl (0.251, 0.611, 0.921)
Cl (0.749, 0.389, 0.079)
Cl (0.000, 0.000, 0.000)
K (0.500, 0.300, 0.700)

## Properties
- formation energy from raw total energies (eV/atom) = -1.34
- calculated total energy (eV/atom) = -4.39

12.
## YRuW2 (PBE-GGA)

Data for a geometry-optimized YRuW2 structure.

abc: 4.621 4.621 4.621
angles: 60.00 60.00 60.00
Fractional positions:
Ru (0.500, 0.500, 0.500)
Y (0.750, 0.750, 0.750)
W (0.250, 0.250, 0.250)
W (0.000, 0.000, 0.000)

## Properties
- calculated total energy (eV/atom) = -10.16

13.
## NdCuSb2 (PBE-GGA)

Data for a geometry-optimized NdCuSb2 structure.

abc: 4.380 4.380 10.110
angles: 90.00 90.00 90.00
Fractional positions:
Sb (0.000, 0.500, 0.347)
Cu (0.500, 0.500, 0.500)
Sb (0.500, 0.500, 0.000)
Cu (0.000, 0.000, 0.500)
Sb (0.000, 0.000, 0.000)
Nd (0.500, 0.000, 0.250)
Nd (0.000, 0.500, 0.750)
Sb (0.500, 0.000, 0.653)

## Properties
- formation energy from raw total energies (eV/atom) = -0.67
- calculated total energy (eV/atom) = -4.95

14.
## K2NaNbFe (PBE-GGA)

Data for a geometry-optimized K2NaNbFe structure.

abc: 6.569 4.368 6.569
angles: 90.00 90.00 90.00
Fractional positions:
Fe (0.000, 0.000, 0.000)
K (0.500, 0.000, 0.000)
K (0.000, 0.000, 0.500)
Nb (0.000, 0.500, 0.000)
Na (0.500, 0.500, 0.500)

## Properties
- calculated total energy (eV/atom) = -3.35

15.
## SrSnIrBr2 (PBE-GGA)

Data for a geometry-optimized SrSnIrBr2 structure.

abc: 5.579 7.476 5.579
angles: 90.00 90.00 90.00
Fractional positions:
Sr (0.000, 0.000, 0.000)
Br (0.500, 0.000, 0.000)
Sn (0.000, 0.500, 0.000)
Ir (0.500, 0.500, 0.500)
Br (0.000, 0.000, 0.500)

## Properties
- formation energy from raw total energies (eV/atom) = 0.57
- calculated total energy (eV/atom) = -3.01

16.
## K2LiAu2Cl6 (PBE-GGA)

Data for a geometry-optimized K2LiAu2Cl6 structure.

abc: 6.802 7.898 7.579
angles: 117.78 90.00 115.51
Fractional positions:
K (0.269, 0.539, 0.798)
Cl (0.185, 0.854, 0.213)
Cl (0.815, 0.146, 0.787)
Au (0.944, 0.888, 0.754)
Cl (0.758, 0.517, 0.654)
Cl (0.242, 0.483, 0.346)
Cl (0.332, 0.146, 0.787)
K (0.731, 0.461, 0.202)
Li (0.500, 0.000, 0.500)
Au (0.056, 0.112, 0.246)
Cl (0.668, 0.854, 0.213)

## Properties
- formation energy from raw total energies (eV/atom) = -1.05
- calculated total energy (eV/atom) = -3.03

17.
## SrPu2RhN4 (PBE-GGA)

Data for a geometry-optimized SrPu2RhN4 structure.

abc: 3.555 6.058 12.005
angles: 90.00 90.00 107.06
Fractional positions:
Pu (0.632, 0.264, 0.054)
Rh (0.812, 0.624, 0.750)
Sr (0.921, 0.842, 0.250)
N (0.751, 0.501, 0.908)
N (0.751, 0.501, 0.592)
N (0.593, 0.186, 0.250)
Rh (0.188, 0.376, 0.250)
Sr (0.079, 0.158, 0.750)
N (0.407, 0.814, 0.750)
N (0.249, 0.499, 0.092)
N (0.249, 0.499, 0.408)
N (0.000, 0.000, 0.000)
N (0.000, 0.000, 0.500)
Pu (0.632, 0.264, 0.446)
Pu (0.368, 0.736, 0.554)
Pu (0.368, 0.736, 0.946)

## Properties
- formation energy from raw total energies (eV/atom) = -0.83
- calculated total energy (eV/atom) = -9.70

18.
## BaLaOs2 (PBE-GGA)

Data for a geometry-optimized BaLaOs2 structure.

abc: 7.067 7.067 7.067
angles: 144.95 141.15 53.32
Fractional positions:
La (0.260, 0.760, 0.500)
Os (0.900, 0.900, 0.000)
Os (0.817, 0.317, 0.500)
Ba (0.522, 0.522, 0.000)

## Properties
- calculated total energy (eV/atom) = -7.03

19.
## Pa4IrRuSe2 (PBE-GGA)

Data for a geometry-optimized Pa4IrRuSe2 structure.

abc: 3.930 7.454 6.800
angles: 72.32 90.00 90.00
Fractional positions:
Se (0.000, 0.000, 0.000)
Ir (0.500, 0.500, 0.000)
Pa (0.000, 0.272, 0.246)
Pa (0.500, 0.727, 0.261)
Pa (0.000, 0.728, 0.754)
Ru (0.000, 0.500, 0.500)
Se (0.500, 0.000, 0.500)
Pa (0.500, 0.273, 0.739)

## Properties
- formation energy from raw total energies (eV/atom) = -0.92
- calculated total energy (eV/atom) = -8.80

20.
## La2GePRh6 (PBE-GGA)

Data for a geometry-optimized La2GePRh6 structure.

abc: 5.645 7.690 8.726
angles: 90.00 90.00 90.00
Fractional positions:
Ge (0.000, 0.726, 0.500)
P (0.000, 0.767, 0.000)
Rh (0.244, 0.459, 0.500)
Rh (0.756, 0.459, 0.500)
Rh (0.744, 0.541, 0.000)
Rh (0.500, 0.105, 0.750)
P (0.500, 0.233, 0.500)
La (0.000, 0.284, 0.234)
Ge (0.500, 0.274, 0.000)
Rh (0.000, 0.895, 0.250)
La (0.500, 0.716, 0.734)
Rh (0.256, 0.541, 0.000)
Rh (0.261, 0.994, 0.000)
La (0.000, 0.284, 0.766)
Rh (0.761, 0.006, 0.500)
Rh (0.739, 0.994, 0.000)
Rh (0.500, 0.105, 0.250)
Rh (0.000, 0.895, 0.750)
La (0.500, 0.716, 0.266)
Rh (0.239, 0.006, 0.500)

## Properties
- calculated total energy (eV/atom) = -7.12

21.
## MnPAuCl2 (PBE-GGA)

Data for a geometry-optimized MnPAuCl2 structure.

abc: 5.010 5.010 4.950
angles: 90.00 90.00 90.00
Fractional positions:
Cl (0.500, 0.000, 0.000)
P (0.000, 0.000, 0.500)
Mn (0.500, 0.500, 0.500)
Cl (0.000, 0.500, 0.000)
Au (0.000, 0.000, 0.000)

## Properties
- formation energy from raw total energies (eV/atom) = 0.56
- calculated total energy (eV/atom) = -3.75

22.
## Ga2AgPt (PBE-GGA)

Data for a geometry-optimized Ga2AgPt structure.

abc: 4.559 2.851 5.475
angles: 90.00 111.60 90.00
Fractional positions:
Ga (0.500, 0.500, 0.500)
Ag (0.000, 0.000, 0.500)
Pt (0.000, 0.500, 0.000)
Ga (0.500, 0.000, 0.000)

## Properties
- calculated total energy (eV/atom) = -3.96

23.
## SrHoRu2O8 (PBE-GGA)

Data for a geometry-optimized SrHoRu2O8 structure.

abc: 5.874 5.874 7.190
angles: 90.00 90.00 120.00
Fractional positions:
O (0.839, 0.163, 0.290)
O (0.333, 0.667, 0.033)
O (0.163, 0.324, 0.710)
Ho (0.000, 0.000, 0.500)
O (0.676, 0.839, 0.710)
O (0.324, 0.161, 0.290)
Ru (0.333, 0.667, 0.786)
O (0.161, 0.837, 0.710)
O (0.837, 0.676, 0.290)
Sr (0.000, 0.000, 0.000)
O (0.667, 0.333, 0.967)
Ru (0.667, 0.333, 0.214)

## Properties
- formation energy from raw total energies (eV/atom) = -1.66
- calculated total energy (eV/atom) = -7.03